A plane-wave DFT calculation with PBE was carried out for crystalline Tb12SbPd6 at its relaxed geometry.

Unit cell a=8.679 b=8.679 c=8.679 alpha=109.47 beta=109.47 gamma=109.47
Element x y z (fractional)
Tb  0.484  0.185  0.299
Tb  0.701  0.516  0.815
Tb  0.886  0.185  0.701
Tb  0.299  0.484  0.185
Tb  0.185  0.299  0.484
Tb  0.114  0.815  0.299
Tb  0.815  0.701  0.516
Tb  0.185  0.701  0.886
Tb  0.815  0.299  0.114
Tb  0.516  0.815  0.701
Tb  0.299  0.114  0.815
Tb  0.701  0.886  0.185
Pd  0.500  0.864  0.364
Pd  0.636  0.500  0.136
Pd  0.500  0.136  0.636
Pd  0.864  0.364  0.500
Pd  0.136  0.636  0.500
Pd  0.364  0.500  0.864
Sb  0.000  0.000  0.000

Output
Fermi-level density of states: 0.86 states/eV/atom
Raw formation energy: -0.6580 eV per atom
Symmetry: Im-3 (204)
DFT total energy: -103.34 eV for the cell shown

***

A plane-wave DFT calculation with PBE was carried out for crystalline K2RuPb at its relaxed geometry.

Unit cell a=3.453 b=4.136 c=10.203 alpha=90.00 beta=90.00 gamma=90.00
Element x y z (fractional)
K  0.000  0.000  0.929
K  0.500  0.500  0.325
Pb  0.000  0.000  0.603
Ru  0.500  0.500  0.643

Output
Fermi-level density of states: 0.68 states/eV/atom
Formation energy from the elements: 414 meV/atom
Symmetry: Pmm2 (25)
DFT total energy: -13.52 eV for the cell shown

***

A plane-wave DFT calculation with PBE was carried out for crystalline CsCo2Pd at its relaxed geometry.

Unit cell a=4.660 b=4.660 c=4.660 alpha=60.00 beta=60.00 gamma=60.00
Element x y z (fractional)
Cs  0.500  0.500  0.500
Pd  0.000  0.000  0.000
Co  0.750  0.750  0.750
Co  0.250  0.250  0.250

Output
Fermi-level density of states: 2.27 states/eV/atom
Formation energy from the elements: 1350 meV/atom
Symmetry: Fm-3m (225)
DFT total energy: -14.86 eV for the cell shown

***

A plane-wave DFT calculation with PBE was carried out for crystalline Li5ReO6 at its relaxed geometry.

Unit cell a=5.104 b=5.104 c=14.301 alpha=90.00 beta=90.00 gamma=120.00
Element x y z (fractional)
O  0.112  0.530  0.744
O  0.079  0.886  0.076
O  0.470  0.888  0.923
O  0.112  0.582  0.256
O  0.774  0.582  0.922
O  0.470  0.582  0.077
O  0.774  0.191  0.078
O  0.809  0.226  0.589
O  0.418  0.191  0.255
O  0.418  0.888  0.411
O  0.079  0.193  0.924
O  0.114  0.921  0.591
O  0.807  0.886  0.257
O  0.418  0.226  0.745
O  0.807  0.921  0.743
O  0.114  0.193  0.409
O  0.418  0.530  0.589
O  0.809  0.582  0.411
Li  0.766  0.533  0.167
Li  0.766  0.234  0.833
Li  0.779  0.221  0.333
Li  0.445  0.555  0.333
Li  0.110  0.555  0.000
Li  0.467  0.234  0.500
Li  0.443  0.886  0.167
Li  0.121  0.242  0.167
Li  0.443  0.221  0.000
Li  0.121  0.879  0.833
Li  0.443  0.557  0.833
Li  0.445  0.890  0.667
Li  0.114  0.557  0.500
Li  0.779  0.557  0.667
Li  0.758  0.879  0.500
Re  0.112  0.888  0.333
Re  0.777  0.888  0.000
Re  0.112  0.223  0.667

Output
Fermi-level density of states: 0.00 states/eV/atom
Raw formation energy: -1.9564 eV per atom
Symmetry: P3_112 (151)
DFT total energy: -225.73 eV for the cell shown

***

A plane-wave DFT calculation with PBE was carried out for crystalline CaY2Co at its relaxed geometry.

Unit cell a=5.172 b=5.172 c=5.172 alpha=60.00 beta=60.00 gamma=60.00
Element x y z (fractional)
Y  0.250  0.250  0.250
Y  0.750  0.750  0.750
Ca  0.000  0.000  0.000
Co  0.500  0.500  0.500

Output
Fermi-level density of states: 0.83 states/eV/atom
Formation energy from the elements: 299 meV/atom
Symmetry: Fm-3m (225)
DFT total energy: -20.84 eV for the cell shown

***

A plane-wave DFT calculation with PBE was carried out for crystalline RbSc2Ge at its relaxed geometry.

Unit cell a=10.878 b=10.878 c=10.878 alpha=20.99 beta=20.99 gamma=20.99
Element x y z (fractional)
Sc  0.123  0.123  0.123
Sc  0.877  0.877  0.877
Rb  0.000  0.000  0.000
Ge  0.500  0.500  0.500

Output
Fermi-level density of states: 0.89 states/eV/atom
Formation energy from the elements: 30 meV/atom
Symmetry: R-3m (166)
DFT total energy: -18.13 eV for the cell shown

***

Question: Which value of Fermi-level density of states does entry 6 give?
Answer: 0.89 states/eV/atom

***

Question: Look up the DFT total energy of the first one.
Answer: -103.34 eV for the cell shown